The following is a GGA-PBE calculation of a relaxed structure of Zn2AgSb2, from the Alexandria database.

Values from the calculation:
SG	No. 139
total moment	0.00	Bohr magnetons per cell
VASP energy	-2.543	eV/atom
V	22.76	Å³/atom
energy relative to the elements, uncorrected	0.93	eV/f.u.

Lattice parameters (Å, degrees): 8.101 8.101 8.101 152.41 152.41 39.41
Fractional positions:
Zn  0.250  0.750  0.500
Zn  0.750  0.250  0.500
Ag  0.000  0.000  0.000
Sb  0.385  0.385  0.000
Sb  0.615  0.615  0.000